Entry 1:
First-principles (PBE) data for ReAs3Pd after structural relaxation, as listed in the Alexandria database.

a b c (Å): 4.805 4.805 4.805
angles (deg): 90.00 90.00 90.00
Sites, in units of the cell vectors:
Re (0.000, 0.000, 0.000)
As (0.000, 0.000, 0.500)
As (0.000, 0.500, 0.000)
As (0.500, 0.000, 0.000)
Pd (0.500, 0.500, 0.500)

Values from the calculation:
E ... -28.03 eV per formula unit
Offset from the most stable computed form ... 0.000 eV per atom
Energy of formation ... 713 meV/atom


Entry 2:
First-principles (PBE) data for RbAc2Ru after structural relaxation, as listed in the Alexandria database.

a b c (Å): 12.140 12.140 12.140
angles (deg): 20.62 20.62 20.62
Sites, in units of the cell vectors:
Rb (0.000, 0.000, 0.000)
Ac (0.123, 0.123, 0.123)
Ac (0.877, 0.877, 0.877)
Ru (0.500, 0.500, 0.500)

Values from the calculation:
E ... -18.64 eV per formula unit
Offset from the most stable computed form ... 0.000 eV per atom
Energy of formation ... -46 meV/atom


What did the second record say?
First-principles (PBE) data for RbAc2Ru after structural relaxation, as listed in the Alexandria database.

a b c (Å): 12.140 12.140 12.140
angles (deg): 20.62 20.62 20.62
Sites, in units of the cell vectors:
Rb (0.000, 0.000, 0.000)
Ac (0.123, 0.123, 0.123)
Ac (0.877, 0.877, 0.877)
Ru (0.500, 0.500, 0.500)

Values from the calculation:
E ... -18.64 eV per formula unit
Offset from the most stable computed form ... 0.000 eV per atom
Energy of formation ... -46 meV/atom